Record 1
NaZrNbO6 GGA-PBE relaxed; raw formation energy = -2.163 eV per atom; uncorrected energy = -7.684 eV per atom; M_tot = 0.2222 μB per atom
1.0
5.529 0.000 0.000
-2.765 4.788 0.000
0.000 0.000 4.719
Na Zr Nb O
1 1 1 6
Cartesian
0.000 0.000 0.000
2.765 1.596 2.360
0.000 3.192 0.000
-1.074 1.933 1.125
-1.628 2.891 3.594
1.074 1.933 3.594
-0.553 4.752 1.125
1.628 2.891 1.125
0.553 4.752 3.594


Record 2
NaZr2NbO8 GGA-PBE relaxed; raw formation energy = -2.407 eV per atom; uncorrected energy = -8.086 eV per atom; M_tot = 0.1712 μB per atom
1.0
3.466 -3.530 0.000
3.466 3.530 0.000
0.000 0.000 6.718
Na Zr Nb O
1 2 1 8
Cartesian
0.000 0.000 0.000
3.466 0.000 1.586
3.466 0.000 5.132
0.000 0.000 3.359
1.408 0.000 1.954
1.408 0.000 4.763
3.466 1.458 3.359
3.466 1.288 0.000
3.466 -1.288 0.000
3.466 -1.458 3.359
5.524 0.000 1.954
5.524 0.000 4.763


Record 3
Na2NbOs GGA-PBE relaxed; ΔE to the lowest computed polymorph = 0 meV per atom; uncorrected energy = -4.583 eV per atom; E_form = 5.61 eV per formula unit; M_tot = 0.3058 μB per atom
1.0
-4.234 4.234 2.460
4.234 -4.234 2.460
4.234 4.234 -2.460
Na Nb Os
4 2 2
Cartesian
6.352 1.844 -0.615
1.844 2.117 0.615
-2.117 2.390 1.845
2.390 2.117 3.076
4.234 0.000 1.230
0.000 0.000 2.460
0.000 0.000 0.000
0.000 4.234 1.230


Record 4
Na2NbOs GGA-PBE relaxed; ΔE to the lowest computed polymorph = 219 meV per atom; uncorrected energy = -4.363 eV per atom; E_form = 6.48 eV per formula unit; M_tot = 0.0003 μB per atom
1.0
0.000 3.303 3.303
3.303 0.000 3.303
3.303 3.303 0.000
Na Nb Os
2 1 1
Cartesian
1.651 1.651 1.651
4.954 4.954 4.954
0.000 0.000 0.000
3.303 3.303 3.303


Record 5
NaNbOs2 GGA-PBE relaxed; ΔE to the lowest computed polymorph = 0 meV per atom; uncorrected energy = -7.877 eV per atom; E_form = 2.34 eV per formula unit; M_tot = 0.0000 μB per atom
1.0
0.000 3.171 3.171
3.171 0.000 3.171
3.171 3.171 0.000
Na Nb Os
1 1 2
Cartesian
0.000 0.000 0.000
3.171 3.171 3.171
1.585 1.585 1.585
4.756 4.756 4.756


Record 6
NaNb2Os2 GGA-PBE relaxed; ΔE to the lowest computed polymorph = 0 meV per atom; uncorrected energy = -8.626 eV per atom; E_form = 0.79 eV per formula unit; M_tot = 0.0000 μB per atom
1.0
7.788 0.000 0.000
0.000 7.788 0.000
0.000 0.000 2.985
Na Nb Os
2 4 4
Cartesian
0.000 0.000 0.000
3.894 3.894 0.000
1.165 2.729 1.493
2.729 6.623 1.493
5.059 1.165 1.493
6.623 5.059 1.493
1.104 4.998 0.000
2.790 1.104 0.000
4.998 6.684 0.000
6.684 2.790 0.000


Record 7
NaNbOs2 GGA-PBE relaxed; ΔE to the lowest computed polymorph = 479 meV per atom; uncorrected energy = -7.398 eV per atom; E_form = 4.26 eV per formula unit; M_tot = 0.0000 μB per atom
1.0
-3.673 3.673 2.690
3.673 -3.673 2.690
3.673 3.673 -2.690
Na Nb Os
2 2 4
Cartesian
0.000 0.000 0.000
0.000 3.673 1.345
3.673 0.000 1.345
0.000 0.000 2.690
1.836 -1.617 2.017
2.056 1.836 0.672
1.836 5.290 -0.672
1.617 1.836 3.362


Record 8
NaNbOs3 GGA-PBE relaxed; uncorrected energy = -6.988 eV per atom; E_form = 10.14 eV per formula unit; M_tot = 0.5025 μB per atom
1.0
4.830 0.000 0.000
0.000 4.830 0.000
0.000 0.000 4.830
Na Nb Os
1 1 3
Cartesian
0.000 0.000 0.000
2.415 2.415 2.415
0.000 2.415 2.415
2.415 0.000 2.415
2.415 2.415 0.000


Record 9
Na2NbOsPb GGA-PBE relaxed; uncorrected energy = -4.476 eV per atom; E_form = 5.27 eV per formula unit; M_tot = 0.0000 μB per atom
1.0
5.412 0.000 0.000
0.000 5.412 0.000
0.000 0.000 4.729
Na Nb Os Pb
2 1 1 1
Cartesian
0.000 2.706 0.000
2.706 0.000 0.000
0.000 0.000 2.364
0.000 0.000 0.000
2.706 2.706 2.364


Record 10
NaNbOs2Se GGA-PBE relaxed; raw formation energy = 2.712 eV per atom; uncorrected energy = -4.754 eV per atom; M_tot = 0.0056 μB per atom
1.0
4.583 0.000 0.000
0.000 4.583 0.000
0.000 0.000 4.531
Na Nb Os Se
1 1 2 1
Cartesian
0.000 0.000 0.000
0.000 0.000 2.266
0.000 2.292 0.000
2.292 0.000 0.000
2.292 2.292 2.266


Record 11
Na2NbOsSe GGA-PBE relaxed; raw formation energy = 1.674 eV per atom; uncorrected energy = -3.811 eV per atom; M_tot = 1.2865 μB per atom
1.0
5.979 0.000 0.000
0.000 5.979 0.000
0.000 0.000 4.864
Na Nb Os Se
2 1 1 1
Cartesian
0.000 2.989 0.000
2.989 0.000 0.000
0.000 0.000 0.000
2.989 2.989 2.432
0.000 0.000 2.432


Record 12
NaTaNb2Os GGA-PBE relaxed; uncorrected energy = -7.420 eV per atom; E_form = 7.44 eV per formula unit; M_tot = 0.0000 μB per atom
1.0
4.961 0.000 0.000
0.000 4.961 0.000
0.000 0.000 4.826
Na Ta Nb Os
1 1 2 1
Cartesian
0.000 0.000 0.000
2.480 2.480 2.413
0.000 2.480 2.413
2.480 0.000 2.413
2.480 2.480 0.000


DOS(E_F) values, unit states/eV per atom, following the record order: 0.32, 0.77, 1.13, 1.00, 1.15, 0.84, 0.98, 1.47, 0.81, 1.47, 0.77, 0.56.